(1)
This record from Alexandria via LeMat-Bulk describes a relaxed structure of Bi2SI3. The functional is PBE.

```
data_Bi2SI3
_cell_length_a 20.248
_cell_length_b 4.301
_cell_length_c 13.054
_cell_angle_alpha 90.00
_cell_angle_beta 120.19
_cell_angle_gamma 90.00
_space_group_name_H-M_alt 'C 1 2/m 1'
_space_group_IT_number 12
loop_
_space_group_symop_operation_xyz
'x,y,z'
'-x,-y,-z'
'-x,y,-z'
'x,-y,z'
'x+1/2,y+1/2,z'
'-x+1/2,-y+1/2,-z'
'-x+1/2,y+1/2,-z'
'x+1/2,-y+1/2,z'
loop_
_atom_site_label
_atom_site_fract_x
_atom_site_fract_y
_atom_site_fract_z
Bi1 0.093 0.000 0.456
Bi2 0.134 0.500 0.811
S1 0.069 0.000 0.653
I1 0.057 0.500 0.254
I2 0.164 0.000 0.009
I3 0.218 0.500 0.619
```

Summary:
Crystal system ... monoclinic
ΔE_f (raw) ... -264 meV/atom


(2)
This record from Alexandria via LeMat-Bulk describes a relaxed structure of SrYMg2Cu. The functional is PBE.

```
data_SrYMg2Cu
_cell_length_a 5.222
_cell_length_b 5.222
_cell_length_c 5.282
_cell_angle_alpha 90.00
_cell_angle_beta 90.00
_cell_angle_gamma 90.00
_space_group_name_H-M_alt 'P 4/m m m'
_space_group_IT_number 123
_space_group_name_Hall '-P 4 2'
loop_
_atom_site_label
_atom_site_fract_x
_atom_site_fract_y
_atom_site_fract_z
Sr1 0.000 0.000 0.000
Y1 0.500 0.500 0.000
Mg1 0.000 0.500 0.500
Cu1 0.500 0.500 0.500
```

Summary:
Crystal system ... tetragonal
E_form ... 0.0388 eV/atom


(3)
This record from Alexandria via LeMat-Bulk describes a relaxed structure of GdPaCuNi. The functional is PBE.

```
data_GdPaCuNi
_cell_length_a 6.841
_cell_length_b 6.841
_cell_length_c 6.841
_cell_angle_alpha 90.00
_cell_angle_beta 90.00
_cell_angle_gamma 90.00
_space_group_name_H-M_alt 'F -4 3 m'
_space_group_IT_number 216
_space_group_name_Hall 'F -4 2 3'
loop_
_atom_site_label
_atom_site_fract_x
_atom_site_fract_y
_atom_site_fract_z
Gd1 0.000 0.000 0.000
Pa1 0.000 0.000 0.500
Cu1 0.250 0.250 0.750
Ni1 0.250 0.250 0.250
```

Summary:
Crystal system ... cubic
E_form ... -0.0567 eV/atom


(4)
This record from Alexandria via LeMat-Bulk describes a relaxed structure of Pr2Nd3Hg. The functional is PBE.

```
data_Pr2Nd3Hg
_cell_length_a 6.287
_cell_length_b 10.928
_cell_length_c 11.720
_cell_angle_alpha 90.00
_cell_angle_beta 100.48
_cell_angle_gamma 90.00
_space_group_name_H-M_alt 'C 1 2/m 1'
_space_group_IT_number 12
loop_
_space_group_symop_operation_xyz
'x,y,z'
'-x,-y,-z'
'-x,y,-z'
'x,-y,z'
'x+1/2,y+1/2,z'
'-x+1/2,-y+1/2,-z'
'-x+1/2,y+1/2,-z'
'x+1/2,-y+1/2,z'
loop_
_atom_site_label
_atom_site_fract_x
_atom_site_fract_y
_atom_site_fract_z
Pr1 0.000 0.000 0.000
Pr2 0.000 0.164 0.500
Pr3 0.000 0.500 0.500
Nd1 0.234 0.500 0.238
Nd2 0.248 0.327 0.761
Hg1 0.000 0.333 0.000
```

Summary:
Crystal system ... monoclinic
E_form ... -0.0688 eV/atom


Number 1: DOS at the Fermi energy 0.46 states/eV per atom. Number 2: DOS at the Fermi energy 0.76 states/eV per atom. Number 3: DOS at the Fermi energy 1.27 states/eV per atom. Number 4: DOS at the Fermi energy 1.20 states/eV per atom.